Computed, not measured: an optimized crystal structure of BaLi2Au at the GGA-PBE level of DFT.

Cell: 4.896 4.950 4.936 Å, 90.00 99.87 90.00°
Atoms (fractional coordinates):
Ba: 0.000 0.000 0.000
Li: 0.335 0.500 0.668
Li: 0.665 0.500 0.332
Au: 0.500 0.000 0.500

As for the space group: P2/m, No. 10. As for the final energy: -2.552 eV/atom. The formation energy comes out at -295 meV per atom. The calculation puts the density of states at the Fermi level at 2.33 states/eV per cell. As for the energy above the most stable polymorph in this dataset: 103 meV/atom. The total moment is 0.000 μB/f.u.